1.
{"formula": "Li12Al3Si4", "functional": "GGA-PBEsol", "state": "relaxed", "lattice_angstrom": [[-6.522, -3.823, 4.917], [8.026, -3.041, 2.769], [-0.333, 8.956, 1.008]], "species": ["Li", "Li", "Li", "Li", "Li", "Li", "Li", "Li", "Li", "Li", "Li", "Li", "Li", "Li", "Li", "Li", "Li", "Li", "Li", "Li", "Li", "Li", "Li", "Li", "Al", "Al", "Al", "Al", "Al", "Al", "Si", "Si", "Si", "Si", "Si", "Si", "Si", "Si"], "fractional_positions": [[0.732, 0.922, 0.385], [0.385, 0.422, 0.732], [0.963, 0.309, 0.578], [0.691, 0.768, 0.653], [0.578, 0.809, 0.963], [0.078, 0.963, 0.809], [0.615, 0.037, 0.847], [0.191, 0.653, 0.768], [0.463, 0.578, 0.309], [0.809, 0.463, 0.078], [0.115, 0.847, 0.037], [0.653, 0.268, 0.691], [0.537, 0.115, 0.347], [0.885, 0.732, 0.422], [0.309, 0.078, 0.463], [0.347, 0.615, 0.537], [0.268, 0.191, 0.153], [0.847, 0.537, 0.615], [0.153, 0.691, 0.268], [0.232, 0.385, 0.922], [0.037, 0.347, 0.115], [0.768, 0.153, 0.191], [0.422, 0.232, 0.885], [0.922, 0.885, 0.232], [0.250, 0.875, 0.625], [0.750, 0.625, 0.875], [0.875, 0.125, 0.750], [0.125, 0.250, 0.375], [0.375, 0.750, 0.125], [0.625, 0.375, 0.250], [0.592, 0.592, 0.092], [0.500, 0.908, 0.500], [0.908, 0.000, 0.000], [0.408, 0.000, 0.000], [0.500, 0.408, 0.500], [0.092, 0.092, 0.592], [0.000, 0.500, 0.408], [0.000, 0.500, 0.908]]}

***

2.
{"formula": "LiAlSi2", "functional": "GGA-PBEsol", "state": "relaxed", "lattice_angstrom": [[-0.299, -1.982, -2.705], [2.823, 1.318, -1.278], [2.787, -3.666, 2.378]], "species": ["Si", "Si", "Al", "Li"], "fractional_positions": [[0.000, 0.000, 0.011], [0.500, 0.500, 0.239], [0.000, 0.000, 0.495], [0.500, 0.500, 0.754]]}

***

3.
{"formula": "LiAlSi", "functional": "GGA-PBEsol", "state": "relaxed", "lattice_angstrom": [[-2.352, -1.241, -1.286], [0.973, -3.777, 1.865], [-2.590, 2.808, 2.026]], "species": ["Al", "Li", "Si"], "fractional_positions": [[0.500, 0.000, 0.000], [0.000, 0.333, 0.667], [0.500, 0.667, 0.333]]}

***

4.
{"formula": "LiAlSi2", "functional": "GGA-PBEsol", "state": "relaxed", "lattice_angstrom": [[-0.873, -2.819, -0.053], [1.918, -2.125, -0.719], [2.405, -2.432, 7.540]], "species": ["Si", "Si", "Li", "Al"], "fractional_positions": [[0.752, 0.752, 0.743], [0.248, 0.248, 0.257], [0.000, 0.000, 0.000], [0.500, 0.500, 0.500]]}

***

| no. | spin magnetization (μB per cell) | total energy (Ry/atom) |
| --- | --- | --- |
| 1 | 0.00 | -0.2393 |
| 2 | 0.00 | -0.3180 |
| 3 | 0.00 | -0.2933 |
| 4 | 0.00 | -0.3199 |